This record from Alexandria via LeMat-Bulk describes a geometry-optimized Ac3IrPb2 structure. The functional is PBE-GGA.

a b c (Å): 9.182 9.182 4.242
angles (deg): 90.00 90.00 143.20
Element x y z (fractional)
Ac  0.000  0.000  0.000
Ac  0.375  0.625  0.500
Ac  0.625  0.375  0.500
Ir  0.500  0.500  0.000
Pb  0.201  0.799  0.000
Pb  0.799  0.201  0.000

Properties
Relative energy among the computed polymorphs, eV/atom: 0.0000
Theoretical density, g/cm3: 9.981

This record from Alexandria via LeMat-Bulk describes a geometry-optimized Ac4IrPb2 structure. The functional is PBE-GGA.

a b c (Å): 9.741 9.741 9.741
angles (deg): 146.46 146.46 48.17
Element x y z (fractional)
Ac  0.000  0.500  0.500
Ac  0.175  0.175  0.000
Ac  0.500  0.000  0.500
Ac  0.825  0.825  0.000
Ir  0.000  0.000  0.000
Pb  0.364  0.364  0.000
Pb  0.636  0.636  0.000

Properties
Relative energy among the computed polymorphs, eV/atom: 0.0932
Theoretical density, g/cm3: 8.949

This record from Alexandria via LeMat-Bulk describes a geometry-optimized Ac6IrPb5 structure. The functional is PBE-GGA.

a b c (Å): 7.962 7.962 7.664
angles (deg): 98.80 98.80 106.74
Element x y z (fractional)
Ac  0.046  0.363  0.712
Ac  0.182  0.182  0.227
Ac  0.363  0.046  0.712
Ac  0.637  0.954  0.288
Ac  0.818  0.818  0.773
Ac  0.954  0.637  0.288
Ir  0.000  0.000  0.500
Pb  0.222  0.778  0.000
Pb  0.378  0.622  0.500
Pb  0.500  0.500  0.000
Pb  0.622  0.378  0.500
Pb  0.778  0.222  0.000

Properties
Theoretical density, g/cm3: 9.564

This record from Alexandria via LeMat-Bulk describes a geometry-optimized Ac4IrPb2 structure. The functional is PBE-GGA.

a b c (Å): 6.859 6.859 9.536
angles (deg): 119.20 119.20 41.58
Element x y z (fractional)
Ac  0.074  0.074  0.348
Ac  0.334  0.334  0.939
Ac  0.666  0.666  0.061
Ac  0.926  0.926  0.652
Ir  0.000  0.000  0.000
Pb  0.361  0.361  0.345
Pb  0.639  0.639  0.655

Properties
Relative energy among the computed polymorphs, eV/atom: 0.0000
Theoretical density, g/cm3: 9.902

This record from Alexandria via LeMat-Bulk describes a geometry-optimized Ac6IrPb2 structure. The functional is PBE-GGA.

a b c (Å): 7.217 9.021 12.993
angles (deg): 90.00 121.99 90.00
Element x y z (fractional)
Ac  0.099  0.169  0.446
Ac  0.099  0.331  0.946
Ac  0.308  0.693  0.448
Ac  0.308  0.807  0.948
Ac  0.365  0.029  0.246
Ac  0.365  0.471  0.746
Ac  0.635  0.529  0.254
Ac  0.635  0.971  0.754
Ac  0.692  0.193  0.052
Ac  0.692  0.307  0.552
Ac  0.901  0.669  0.054
Ac  0.901  0.831  0.554
Ir  0.500  0.000  0.500
Ir  0.500  0.500  0.000
Pb  0.183  0.114  0.754
Pb  0.183  0.386  0.254
Pb  0.817  0.614  0.746
Pb  0.817  0.886  0.246

Properties
Theoretical density, g/cm3: 9.113

This record from Alexandria via LeMat-Bulk describes a geometry-optimized AcIrPb2 structure. The functional is PBE-GGA.

a b c (Å): 10.193 10.193 10.193
angles (deg): 22.47 22.47 22.47
Element x y z (fractional)
Ac  0.000  0.000  0.000
Ir  0.500  0.500  0.500
Pb  0.115  0.115  0.115
Pb  0.885  0.885  0.885

Properties
Theoretical density, g/cm3: 10.205

This record from Alexandria via LeMat-Bulk describes a geometry-optimized AcIrPdPb structure. The functional is PBE-GGA.

a b c (Å): 5.081 5.081 5.081
angles (deg): 60.00 60.00 60.00
Element x y z (fractional)
Ac  0.000  0.000  0.000
Ir  0.750  0.750  0.750
Pd  0.250  0.250  0.250
Pb  0.500  0.500  0.500

Properties
Theoretical density, g/cm3: 13.123

This record from Alexandria via LeMat-Bulk describes a geometry-optimized AcPmIrPb structure. The functional is PBE-GGA.

a b c (Å): 5.428 5.428 5.428
angles (deg): 60.00 60.00 60.00
Element x y z (fractional)
Ac  0.000  0.000  0.000
Pm  0.500  0.500  0.500
Ir  0.750  0.750  0.750
Pb  0.250  0.250  0.250

Properties
Theoretical density, g/cm3: 11.330

This record from Alexandria via LeMat-Bulk describes a geometry-optimized Ac3IrPtPb structure. The functional is PBE-GGA.

a b c (Å): 9.185 4.407 10.407
angles (deg): 90.00 113.06 90.00
Element x y z (fractional)
Ac  0.154  0.250  0.138
Ac  0.256  0.750  0.479
Ac  0.281  0.750  0.866
Ac  0.719  0.250  0.134
Ac  0.744  0.250  0.521
Ac  0.846  0.750  0.862
Ir  0.046  0.250  0.817
Ir  0.954  0.750  0.183
Pt  0.008  0.250  0.405
Pt  0.992  0.750  0.595
Pb  0.486  0.750  0.256
Pb  0.514  0.250  0.744

Properties
Theoretical density, g/cm3: 10.928

This record from Alexandria via LeMat-Bulk describes a geometry-optimized Ac5IrRhPb2 structure. The functional is PBE-GGA.

a b c (Å): 9.928 9.928 12.159
angles (deg): 90.00 90.00 149.28
Element x y z (fractional)
Ac  0.000  0.000  0.000
Ac  0.000  0.000  0.500
Ac  0.152  0.848  0.750
Ac  0.199  0.801  0.099
Ac  0.199  0.801  0.402
Ac  0.463  0.537  0.750
Ac  0.537  0.463  0.250
Ac  0.801  0.199  0.599
Ac  0.801  0.199  0.902
Ac  0.848  0.152  0.250
Ir  0.299  0.701  0.751
Ir  0.701  0.299  0.251
Rh  0.069  0.931  0.251
Rh  0.931  0.069  0.751
Pb  0.384  0.616  0.058
Pb  0.384  0.616  0.443
Pb  0.616  0.384  0.558
Pb  0.616  0.384  0.943

Properties
Theoretical density, g/cm3: 10.006

This record from Alexandria via LeMat-Bulk describes a geometry-optimized AcSmIrPb structure. The functional is PBE-GGA.

a b c (Å): 5.417 5.417 5.417
angles (deg): 60.00 60.00 60.00
Element x y z (fractional)
Ac  0.000  0.000  0.000
Sm  0.500  0.500  0.500
Ir  0.250  0.250  0.250
Pb  0.750  0.750  0.750

Properties
Theoretical density, g/cm3: 11.479

This record from Alexandria via LeMat-Bulk describes a geometry-optimized Ac2SnIrPb structure. The functional is PBE-GGA.

a b c (Å): 8.645 8.645 4.544
angles (deg): 90.00 90.00 110.21
Element x y z (fractional)
Ac  0.087  0.326  0.250
Ac  0.326  0.087  0.750
Ac  0.674  0.913  0.250
Ac  0.913  0.674  0.750
Sn  0.243  0.757  0.250
Sn  0.757  0.243  0.750
Ir  0.051  0.949  0.250
Ir  0.949  0.051  0.750
Pb  0.400  0.600  0.750
Pb  0.600  0.400  0.250

Properties
Theoretical density, g/cm3: 10.129

This record from Alexandria via LeMat-Bulk describes a geometry-optimized AcTbIrPb structure. The functional is PBE-GGA.

a b c (Å): 5.379 5.379 5.379
angles (deg): 60.00 60.00 60.00
Element x y z (fractional)
Ac  0.000  0.000  0.000
Tb  0.500  0.500  0.500
Ir  0.750  0.750  0.750
Pb  0.250  0.250  0.250

Properties
Theoretical density, g/cm3: 11.850

This record from Alexandria via LeMat-Bulk describes a geometry-optimized Ac8Te4Ir3Pb structure. The functional is PBE-GGA.

a b c (Å): 9.528 9.528 9.528
angles (deg): 56.85 56.85 56.85
Element x y z (fractional)
Ac  0.217  0.748  0.748
Ac  0.238  0.238  0.238
Ac  0.252  0.252  0.783
Ac  0.252  0.783  0.252
Ac  0.748  0.217  0.748
Ac  0.748  0.748  0.217
Ac  0.762  0.762  0.762
Ac  0.783  0.252  0.252
Te  0.000  0.000  0.000
Te  0.000  0.500  0.500
Te  0.500  0.000  0.500
Te  0.500  0.500  0.000
Ir  0.000  0.000  0.500
Ir  0.000  0.500  0.000
Ir  0.500  0.000  0.000
Pb  0.500  0.500  0.500

Properties
Theoretical density, g/cm3: 9.106
Uncorrected formation energy, meV/atom: -1057.7

This record from Alexandria via LeMat-Bulk describes a geometry-optimized Ac6Te3Ir2Pb structure. The functional is PBE-GGA.

a b c (Å): 10.560 10.560 9.647
angles (deg): 106.51 106.51 24.74
Element x y z (fractional)
Ac  0.017  0.017  0.260
Ac  0.321  0.321  0.438
Ac  0.330  0.330  0.881
Ac  0.670  0.670  0.119
Ac  0.679  0.679  0.562
Ac  0.983  0.983  0.740
Te  0.160  0.160  0.833
Te  0.500  0.500  0.500
Te  0.840  0.840  0.167
Ir  0.170  0.170  0.337
Ir  0.830  0.830  0.663
Pb  0.500  0.500  0.000

Properties
Theoretical density, g/cm3: 9.006
Uncorrected formation energy, meV/atom: -1068.7

This record from Alexandria via LeMat-Bulk describes a geometry-optimized AcTmIrPb structure. The functional is PBE-GGA.

a b c (Å): 5.343 5.343 5.343
angles (deg): 60.00 60.00 60.00
Element x y z (fractional)
Ac  0.000  0.000  0.000
Tm  0.500  0.500  0.500
Ir  0.250  0.250  0.250
Pb  0.750  0.750  0.750

Properties
Theoretical density, g/cm3: 12.247

This record from Alexandria via LeMat-Bulk describes a geometry-optimized AcYIrPb structure. The functional is PBE-GGA.

a b c (Å): 5.375 5.375 5.375
angles (deg): 60.00 60.00 60.00
Element x y z (fractional)
Ac  0.000  0.000  0.000
Y  0.500  0.500  0.500
Ir  0.750  0.750  0.750
Pb  0.250  0.250  0.250

Properties
Theoretical density, g/cm3: 10.817

This record from Alexandria via LeMat-Bulk describes a geometry-optimized AcZnIrPb structure. The functional is PBE-GGA.

a b c (Å): 5.137 5.137 5.137
angles (deg): 60.00 60.00 60.00
Element x y z (fractional)
Ac  0.000  0.000  0.000
Zn  0.250  0.250  0.250
Ir  0.750  0.750  0.750
Pb  0.500  0.500  0.500

Properties
Theoretical density, g/cm3: 11.986

This record from Alexandria via LeMat-Bulk describes a geometry-optimized Ac8Ir3Pd structure. The functional is PBE-GGA.

a b c (Å): 8.525 8.525 8.489
angles (deg): 117.10 117.10 62.70
Element x y z (fractional)
Ac  0.233  0.748  0.750
Ac  0.243  0.243  0.255
Ac  0.252  0.252  0.735
Ac  0.252  0.767  0.250
Ac  0.748  0.233  0.750
Ac  0.748  0.748  0.265
Ac  0.757  0.757  0.745
Ac  0.767  0.252  0.250
Ir  0.000  0.000  0.000
Ir  0.000  0.500  0.500
Ir  0.500  0.000  0.500
Pd  0.500  0.500  0.000

Properties
Theoretical density, g/cm3: 8.949

This record from Alexandria via LeMat-Bulk describes a geometry-optimized Ac12Ir3Pd5 structure. The functional is PBE-GGA.

a b c (Å): 13.233 13.233 4.418
angles (deg): 90.00 90.00 120.00
Element x y z (fractional)
Ac  0.000  0.175  0.000
Ac  0.000  0.469  0.000
Ac  0.175  0.000  0.000
Ac  0.194  0.743  0.500
Ac  0.257  0.450  0.500
Ac  0.450  0.257  0.500
Ac  0.469  0.000  0.000
Ac  0.531  0.531  0.000
Ac  0.550  0.806  0.500
Ac  0.743  0.194  0.500
Ac  0.806  0.550  0.500
Ac  0.825  0.825  0.000
Ir  0.000  0.324  0.500
Ir  0.324  0.000  0.500
Ir  0.676  0.676  0.500
Pd  0.000  0.713  0.000
Pd  0.287  0.287  0.000
Pd  0.333  0.667  0.000
Pd  0.667  0.333  0.000
Pd  0.713  0.000  0.000

Properties
Theoretical density, g/cm3: 9.499

This record from Alexandria via LeMat-Bulk describes a geometry-optimized Ac8Ir2Pd3 structure. The functional is PBE-GGA.

a b c (Å): 8.852 8.852 7.439
angles (deg): 106.95 106.95 60.07
Element x y z (fractional)
Ac  0.109  0.627  0.233
Ac  0.123  0.123  0.239
Ac  0.373  0.373  0.777
Ac  0.373  0.891  0.767
Ac  0.627  0.109  0.233
Ac  0.627  0.627  0.223
Ac  0.877  0.877  0.761
Ac  0.891  0.373  0.767
Ir  0.253  0.253  0.011
Ir  0.747  0.747  0.989
Pd  0.000  0.000  0.500
Pd  0.251  0.749  0.000
Pd  0.749  0.251  0.000

Properties
Theoretical density, g/cm3: 8.796

This record from Alexandria via LeMat-Bulk describes a geometry-optimized Ac7IrPd5 structure. The functional is PBE-GGA.

a b c (Å): 7.669 7.669 25.917
angles (deg): 90.00 90.00 147.43
Element x y z (fractional)
Ac  0.066  0.934  0.500
Ac  0.121  0.879  0.213
Ac  0.151  0.849  0.789
Ac  0.300  0.700  0.430
Ac  0.322  0.678  0.572
Ac  0.391  0.609  0.133
Ac  0.430  0.570  0.855
Ac  0.570  0.430  0.355
Ac  0.609  0.391  0.633
Ac  0.678  0.322  0.072
Ac  0.700  0.300  0.930
Ac  0.849  0.151  0.289
Ac  0.879  0.121  0.713
Ac  0.934  0.066  0.000
Ir  0.293  0.707  0.016
Ir  0.707  0.293  0.516
Pd  0.033  0.967  0.104
Pd  0.058  0.942  0.899
Pd  0.209  0.791  0.324
Pd  0.238  0.762  0.679
Pd  0.482  0.518  0.247
Pd  0.518  0.482  0.747
Pd  0.762  0.238  0.179
Pd  0.791  0.209  0.824
Pd  0.942  0.058  0.399
Pd  0.967  0.033  0.604

Properties
Theoretical density, g/cm3: 9.365

Number 1: total DFT energy (no corrections) -31.61 eV/cell. Number 2: total DFT energy (no corrections) -35.95 eV/cell. Number 3: total DFT energy (no corrections) -57.57 eV/cell. Number 4: total DFT energy (no corrections) -36.61 eV/cell. Number 5: total DFT energy (no corrections) -89.63 eV/cell. Number 6: total DFT energy (no corrections) -19.22 eV/cell. Number 7: total DFT energy (no corrections) -23.05 eV/cell. Number 8: total DFT energy (no corrections) -22.70 eV/cell. Number 9: total DFT energy (no corrections) -69.55 eV/cell. Number 10: total DFT energy (no corrections) -98.25 eV/cell. Number 11: total DFT energy (no corrections) -22.67 eV/cell. Number 12: total DFT energy (no corrections) -55.59 eV/cell. Number 13: total DFT energy (no corrections) -22.61 eV/cell. Number 14: total DFT energy (no corrections) -92.65 eV/cell. Number 15: total DFT energy (no corrections) -68.33 eV/cell. Number 16: total DFT energy (no corrections) -22.42 eV/cell. Number 17: total DFT energy (no corrections) -24.47 eV/cell. Number 18: total DFT energy (no corrections) -18.47 eV/cell. Number 19: total DFT energy (no corrections) -71.63 eV/cell. Number 20: total DFT energy (no corrections) -114.89 eV/cell. Number 21: total DFT energy (no corrections) -74.32 eV/cell. Number 22: total DFT energy (no corrections) -145.55 eV/cell.